# 1
The following is a DFT calculation (meta-GGA SCAN) of LiScC at its PBEsol-relaxed geometry.

abc: 3.727 3.727 3.727
angles: 60.00 60.00 60.00
Element x y z (fractional)
1 Li 0.000 0.000 0.000
2 Sc 0.500 0.500 0.500
3 C 0.750 0.750 0.750

* E_tot: -27.8 eV per cell

---

# 2
The following is a DFT calculation (meta-GGA SCAN) of LiSi2C at its PBEsol-relaxed geometry.

abc: 4.988 4.988 4.988
angles: 102.91 102.91 123.58
Element x y z (fractional)
1 Li 0.000 0.000 0.000
2 Li 0.750 0.250 0.500
3 Si 0.207 0.125 0.582
4 Si 0.375 0.793 0.918
5 Si 0.543 0.625 0.418
6 Si 0.875 0.457 0.082
7 C 0.250 0.750 0.500
8 C 0.500 0.500 0.000

* energy relative to the elements, uncorrected: 0.271 eV per atom

---

# 3
The following is a DFT calculation (meta-GGA SCAN) of LiSn2C at its PBEsol-relaxed geometry.

abc: 5.754 5.754 5.754
angles: 104.36 104.36 120.26
Element x y z (fractional)
1 Li 0.000 0.000 0.000
2 Li 0.750 0.250 0.500
3 Sn 0.200 0.625 0.075
4 Sn 0.375 0.450 0.575
5 Sn 0.550 0.125 0.925
6 Sn 0.875 0.800 0.425
7 C 0.250 0.750 0.500
8 C 0.500 0.500 0.000

* E_tot: -164.0 eV per cell

---

# 4
The following is a DFT calculation (meta-GGA SCAN) of Li3SnC at its PBEsol-relaxed geometry.

abc: 4.128 4.128 4.128
angles: 90.00 90.00 90.00
Element x y z (fractional)
1 Li 0.000 0.000 0.500
2 Li 0.000 0.500 0.000
3 Li 0.500 0.000 0.000
4 Sn 0.500 0.500 0.500
5 C 0.000 0.000 0.000

* E_tot: -51.4 eV per cell